# 1
Entry from Alexandria via LeMat-Bulk: a relaxed structure of BaMg2Tl4 (PBE).

Computed properties:
Energy of formation from the pure elements, eV per atom: -0.139
Density of states at the Fermi level, states/eV/f.u.: 5.7
Offset from the most stable computed form, meV/atom: 20

```
BaMg2Tl4
1.0
-2.5784 6.4880 0.8949
-5.7910 -2.7077 2.9457
8.0193 -1.4606 6.0132
Tl Mg Ba
8 4 2
direct
0.7659 0.0499 0.0987
0.9512 0.2341 0.9013
0.3329 0.0488 0.0987
0.9501 0.6671 0.9013
0.4841 0.7001 0.4013
0.9171 0.7012 0.4013
0.2999 0.0829 0.5987
0.2988 0.5159 0.5987
0.1250 0.8750 0.2500
0.6250 0.8750 0.7500
0.1250 0.3750 0.2500
0.1250 0.8750 0.7500
0.5000 0.5000 0.0000
0.7500 0.2500 0.5000
```


# 2
Entry from Alexandria via LeMat-Bulk: a relaxed structure of Ba3MgTl3 (PBE).

Computed properties:
Energy of formation from the pure elements, eV per atom: -0.323
Density of states at the Fermi level, states/eV/f.u.: 8.2

```
Ba3MgTl3
1.0
4.9519 0.0000 0.7459
2.4478 6.6212 0.5598
0.0069 -0.0628 16.7636
Mg Ba Tl
2 6 6
direct
0.7606 0.0670 0.4118
0.2394 0.9330 0.5882
0.2583 0.2509 0.2326
0.6037 0.7128 0.0797
0.3963 0.2872 0.9203
0.5228 0.3393 0.6150
0.4772 0.6607 0.3850
0.7417 0.7491 0.7674
0.9623 0.8361 0.2393
0.1337 0.2778 0.4547
0.8663 0.7222 0.5453
0.1115 0.8539 0.9230
0.0377 0.1639 0.7607
0.8885 0.1461 0.0770
```


# 3
Entry from Alexandria via LeMat-Bulk: a relaxed structure of Ba3MgTl (PBE).

Computed properties:
Energy of formation from the pure elements, eV per atom: 0.118
Density of states at the Fermi level, states/eV/f.u.: 9.8
Offset from the most stable computed form, meV/atom: 326

```
Ba3MgTl
1.0
-6.2236 2.4066 -0.6383
-2.4841 -6.1184 1.1520
-0.1690 1.3062 6.5726
Ba Mg Tl
3 1 1
direct
0.0000 0.0000 0.5000
0.0000 0.5000 0.0000
0.5000 0.0000 0.0000
0.5000 0.5000 0.5000
0.0000 0.0000 0.0000
```


# 4
Entry from Alexandria via LeMat-Bulk: a relaxed structure of Ba2MgTl (PBE).

Computed properties:
Energy of formation from the pure elements, eV per atom: -0.216
Density of states at the Fermi level, states/eV/f.u.: 2.2

```
Ba2MgTl
1.0
7.2502 0.0651 0.0412
6.0414 4.0088 0.0412
2.5325 0.7762 5.4908
Mg Ba Tl
1 2 1
direct
0.5428 0.5428 0.4570
0.9661 0.9661 0.0339
0.7728 0.7728 0.7273
0.2184 0.2184 0.2818
```


# 5
Entry from Alexandria via LeMat-Bulk: a relaxed structure of BaMg9Tl3 (PBE).

Computed properties:
Energy of formation from the pure elements, eV per atom: -0.082
Density of states at the Fermi level, states/eV/f.u.: 5.0

```
BaMg9Tl3
1.0
-2.0750 -5.6183 1.4660
2.4778 -2.3084 7.2301
-7.0873 0.2185 3.7730
Mg Tl Ba
9 3 1
direct
0.2804 0.2194 0.2174
0.0000 0.5000 0.0000
0.7196 0.7806 0.7826
0.6568 0.3617 0.3554
0.3432 0.6383 0.6446
0.9878 0.6383 0.3554
0.5022 0.7806 0.2174
0.0122 0.3617 0.6446
0.4978 0.2194 0.7826
0.0000 0.0000 0.5000
0.5000 0.5000 0.0000
0.5000 0.0000 0.5000
0.0000 0.0000 0.0000
```


# 6
Entry from Alexandria via LeMat-Bulk: a relaxed structure of BaMg3Tl2 (PBE).

Computed properties:
Energy of formation from the pure elements, eV per atom: -0.211
Density of states at the Fermi level, states/eV/f.u.: 3.2

```
BaMg3Tl2
1.0
4.7997 0.0000 0.0000
-2.3998 8.9767 0.0949
0.0000 -3.9474 8.2599
Ba Mg Tl
2 6 4
direct
0.8527 0.7054 0.9358
0.1473 0.2946 0.0642
0.4112 0.8223 0.3332
0.3129 0.6258 0.5418
0.9562 0.9124 0.6195
0.0438 0.0876 0.3805
0.5888 0.1777 0.6668
0.6871 0.3742 0.4582
0.8049 0.6098 0.2972
0.5249 0.0498 0.1785
0.4751 0.9502 0.8215
0.1951 0.3902 0.7028
```


# 7
Entry from Alexandria via LeMat-Bulk: a relaxed structure of Ba4MgTl2 (PBE).

Computed properties:
Energy of formation from the pure elements, eV per atom: -0.233
Density of states at the Fermi level, states/eV/f.u.: 6.9
Offset from the most stable computed form, meV/atom: 0

```
Ba4MgTl2
1.0
5.7756 0.0000 1.8044
2.6059 5.1542 1.8044
-0.0962 -0.0591 10.4531
Ba Tl Mg
4 2 1
direct
0.6232 0.6232 0.1303
0.1260 0.1260 0.6219
0.3768 0.3768 0.8697
0.8740 0.8740 0.3781
0.2523 0.2523 0.2432
0.7477 0.7477 0.7568
0.0000 0.0000 0.0000
```


# 8
Entry from Alexandria via LeMat-Bulk: a relaxed structure of BaMg2Tl7 (PBE).

Computed properties:
Energy of formation from the pure elements, eV per atom: 0.068
Density of states at the Fermi level, states/eV/f.u.: 6.1

```
BaMg2Tl7
1.0
5.1134 0.0000 0.0000
0.0000 9.1025 -0.3481
0.0000 -4.4173 7.9665
Tl Mg Ba
7 2 1
direct
0.5000 0.0461 0.3255
0.5000 0.9539 0.6745
0.0000 0.7661 0.2339
0.0000 0.2339 0.7661
0.5000 0.5000 0.5000
0.5000 0.6745 0.9539
0.5000 0.3255 0.0461
0.5000 0.3151 0.6849
0.5000 0.6849 0.3151
0.0000 0.0000 0.0000
```


# 9
Entry from Alexandria via LeMat-Bulk: a relaxed structure of BaMg4Tl8 (PBE).

Computed properties:
Energy of formation from the pure elements, eV per atom: -0.116
Density of states at the Fermi level, states/eV/f.u.: 7.2

```
BaMg4Tl8
1.0
-3.4904 1.5661 5.0636
-7.1152 -4.1846 0.3666
1.6840 -4.6923 6.5891
Tl Mg Ba
8 4 1
direct
0.0000 0.3488 0.6512
0.6512 0.3488 0.3488
0.2826 0.2174 0.2174
0.3488 0.6512 0.6512
0.7174 0.7826 0.7826
0.5000 0.7826 0.2174
0.5000 0.2174 0.7826
0.0000 0.6512 0.3488
0.5000 0.0000 0.5000
0.0000 0.0000 0.5000
0.5000 0.5000 0.0000
0.0000 0.5000 0.0000
0.0000 0.0000 0.0000
```


# 10
Entry from Alexandria via LeMat-Bulk: a relaxed structure of Ba2MgTl (PBE).

Computed properties:
Energy of formation from the pure elements, eV per atom: -0.115
Density of states at the Fermi level, states/eV/f.u.: 4.0

```
Ba2MgTl
1.0
4.1567 0.0133 0.0000
-0.0156 4.1567 0.0000
0.0000 0.0000 9.7342
Tl Mg Ba
1 1 2
direct
0.5000 0.5000 0.6980
0.0000 0.0000 0.5537
0.5000 0.5000 0.3140
0.0000 0.0000 0.9343
```


# 11
Entry from Alexandria via LeMat-Bulk: a relaxed structure of Ba2Mg3Tl2 (PBE).

Computed properties:
Energy of formation from the pure elements, eV per atom: -0.214
Density of states at the Fermi level, states/eV/f.u.: 4.9

```
Ba2Mg3Tl2
1.0
5.0660 0.0000 0.0000
-2.5330 6.2773 -0.2147
0.0000 -3.1515 7.4116
Tl Ba Mg
2 2 3
direct
0.1469 0.2938 0.2343
0.8531 0.7062 0.7657
0.1461 0.2922 0.7722
0.8539 0.7078 0.2278
0.6108 0.2217 0.4250
0.5000 0.0000 0.0000
0.3892 0.7783 0.5750
```


# 12
Entry from Alexandria via LeMat-Bulk: a relaxed structure of Ba2MgTl2 (PBE).

Computed properties:
Energy of formation from the pure elements, eV per atom: -0.048
Density of states at the Fermi level, states/eV/f.u.: 5.2
Offset from the most stable computed form, meV/atom: 260

```
Ba2MgTl2
1.0
4.5099 0.0000 0.0000
0.0000 4.5099 0.0000
2.2549 2.2549 10.3327
Ba Tl Mg
2 2 1
direct
0.6026 0.6026 0.7948
0.3974 0.3974 0.2052
0.7500 0.2500 0.5000
0.2500 0.7500 0.5000
0.0000 0.0000 0.0000
```


# 13
Entry from Alexandria via LeMat-Bulk: a relaxed structure of Ba3Mg2Tl5 (PBE).

Computed properties:
Energy of formation from the pure elements, eV per atom: -0.317
Density of states at the Fermi level, states/eV/f.u.: 6.3

```
Ba3Mg2Tl5
1.0
4.6196 0.0000 0.0000
0.0000 12.0981 0.0000
0.0000 0.0000 12.0981
Mg Ba Tl
4 6 10
direct
0.0000 0.6116 0.8884
0.0000 0.1116 0.6116
0.0000 0.8884 0.3884
0.0000 0.3884 0.1116
0.0000 0.1811 0.3189
0.0000 0.5000 0.5000
0.0000 0.6811 0.1811
0.0000 0.0000 0.0000
0.0000 0.3189 0.8189
0.0000 0.8189 0.6811
0.5000 0.5000 0.0000
0.5000 0.5677 0.7255
0.5000 0.0677 0.7745
0.5000 0.7255 0.4323
0.5000 0.2255 0.0677
0.5000 0.9323 0.2255
0.5000 0.2745 0.5677
0.5000 0.4323 0.2745
0.5000 0.7745 0.9323
0.5000 0.0000 0.5000
```


# 14
Entry from Alexandria via LeMat-Bulk: a relaxed structure of BaMgTl4 (PBE).

Computed properties:
Energy of formation from the pure elements, eV per atom: -0.030
Density of states at the Fermi level, states/eV/f.u.: 5.0
Offset from the most stable computed form, meV/atom: 199

```
BaMgTl4
1.0
4.8442 0.0000 0.0000
0.0000 4.8442 0.0000
0.0000 0.0000 9.1090
Tl Ba Mg
4 1 1
direct
0.0000 0.5000 0.3011
0.0000 0.5000 0.6989
0.5000 0.0000 0.3011
0.5000 0.0000 0.6989
0.0000 0.0000 0.0000
0.5000 0.5000 0.5000
```


# 15
Entry from Alexandria via LeMat-Bulk: a relaxed structure of Ba2Mg5Tl5 (PBE).

Computed properties:
Energy of formation from the pure elements, eV per atom: -0.181
Density of states at the Fermi level, states/eV/f.u.: 6.0

```
Ba2Mg5Tl5
1.0
-2.2071 -3.6371 2.5227
3.5211 1.4193 5.1269
-8.1152 7.3742 3.5319
Tl Ba Mg
5 2 5
direct
0.5000 0.0000 0.0000
0.0000 0.5000 0.6645
0.0000 0.0000 0.8141
0.0000 0.5000 0.3355
0.0000 0.0000 0.1859
0.0000 0.0000 0.5000
0.0000 0.5000 0.0000
0.5000 0.2518 0.7487
0.5000 0.5000 0.5000
0.5000 0.7482 0.7487
0.5000 0.7482 0.2513
0.5000 0.2518 0.2513
```


# 16
Entry from Alexandria via LeMat-Bulk: a relaxed structure of BaMg9Tl2 (PBE).

Computed properties:
Energy of formation from the pure elements, eV per atom: -0.096
Density of states at the Fermi level, states/eV/f.u.: 5.3

```
BaMg9Tl2
1.0
-1.8388 -7.7754 0.9555
-1.5923 -4.8031 -8.2660
7.6381 -5.9657 0.0367
Mg Tl Ba
18 4 2
direct
0.0073 0.9200 0.6738
0.4311 0.8262 0.4200
0.3189 0.0800 0.6738
0.0727 0.9200 0.3262
0.7427 0.8262 0.5800
0.1489 0.4200 0.1738
0.1489 0.1738 0.4200
0.0000 0.0000 0.0000
0.3189 0.6738 0.0800
0.4311 0.4200 0.8262
0.6773 0.5800 0.1738
0.7500 0.5000 0.5000
0.0727 0.3262 0.9200
0.7427 0.5800 0.8262
0.0073 0.6738 0.9200
0.6773 0.1738 0.5800
0.6011 0.0800 0.3262
0.6011 0.3262 0.0800
0.8750 0.7500 0.2500
0.8750 0.2500 0.7500
0.3750 0.7500 0.7500
0.8750 0.2500 0.2500
0.2500 0.5000 0.5000
0.5000 0.0000 0.0000
```


# 17
Entry from Alexandria via LeMat-Bulk: a relaxed structure of Ba8MgTl2 (PBE).

Computed properties:
Energy of formation from the pure elements, eV per atom: -0.121
Density of states at the Fermi level, states/eV/f.u.: 12.5
Offset from the most stable computed form, meV/atom: 47

```
Ba8MgTl2
1.0
-6.0431 -0.4249 -0.1543
0.6888 -10.2565 1.2656
2.3949 6.3462 7.7274
Ba Tl Mg
8 2 1
direct
0.3421 0.5535 0.6841
0.0000 0.3305 0.0001
0.1367 0.1367 0.2734
0.3421 0.1308 0.6842
0.6579 0.8692 0.3158
0.8633 0.8633 0.7266
0.0000 0.6695 0.9999
0.6579 0.4465 0.3159
0.2019 0.7019 0.4037
0.7981 0.2981 0.5963
0.5000 0.0000 0.0000
```


# 18
Entry from Alexandria via LeMat-Bulk: a relaxed structure of BaMgTl4 (PBE).

Computed properties:
Energy of formation from the pure elements, eV per atom: -0.229
Density of states at the Fermi level, states/eV/f.u.: 1.7
Offset from the most stable computed form, meV/atom: 0

```
BaMgTl4
1.0
-1.6348 4.6330 -0.8140
-7.2648 -2.1965 2.0882
2.7409 -0.0417 9.4919
Tl Ba Mg
8 2 2
direct
0.5000 0.5000 0.0000
0.0664 0.7500 0.1328
0.5000 0.0000 0.0000
0.6769 0.9501 0.3539
0.3231 0.4501 0.6461
0.3231 0.0499 0.6461
0.6769 0.5499 0.3539
0.9336 0.2500 0.8672
0.1202 0.2500 0.2404
0.8798 0.7500 0.7596
0.2240 0.7500 0.4480
0.7760 0.2500 0.5520
```


# 19
Entry from Alexandria via LeMat-Bulk: a relaxed structure of Ba4MgTl (PBE).

Computed properties:
Energy of formation from the pure elements, eV per atom: 0.323
Density of states at the Fermi level, states/eV/f.u.: 9.1

```
Ba4MgTl
1.0
-6.3754 2.9623 2.4238
-1.5725 7.1245 -1.4369
-5.3784 1.7176 -4.8393
Ba Mg Tl
4 1 1
direct
0.3746 0.8762 0.3746
0.8762 0.3746 0.3746
0.3746 0.3746 0.8762
0.3746 0.3746 0.3746
0.7500 0.7500 0.7500
0.0000 0.0000 0.0000
```


# 20
Entry from Alexandria via LeMat-Bulk: a relaxed structure of Ba6MgTl3 (PBE).

Computed properties:
Energy of formation from the pure elements, eV per atom: -0.243
Density of states at the Fermi level, states/eV/f.u.: 9.5

```
Ba6MgTl3
1.0
6.0373 0.0000 0.0000
0.0000 10.4198 -3.3254
0.0000 0.1908 13.6745
Ba Tl Mg
12 6 2
direct
0.7500 0.8842 0.1195
0.7500 0.5219 0.9069
0.7500 0.3567 0.3173
0.2500 0.1158 0.8805
0.2500 0.1246 0.1584
0.7500 0.7395 0.5000
0.2500 0.2605 0.5000
0.2500 0.6433 0.6827
0.7500 0.8754 0.8416
0.2500 0.8310 0.3158
0.2500 0.4781 0.0931
0.7500 0.1690 0.6842
0.2500 0.5347 0.3766
0.7500 0.6300 0.2273
0.7500 0.2178 0.0260
0.2500 0.3700 0.7727
0.7500 0.4653 0.6234
0.2500 0.7822 0.9740
0.7500 0.0387 0.3978
0.2500 0.9613 0.6022
```